--- P ---
Below is Al3Ag5 at its PBEsol-relaxed geometry, with properties calculated at the meta-GGA SCAN level.

Cell: 3.9892 5.8161 5.5644 Å, 90.00 90.00 90.00°
Sites, in units of the cell vectors:
Al  0.0000  0.0000  0.0000
Al  0.5000  0.2539  0.7246
Al  0.5000  0.7461  0.7246
Ag  0.0000  0.0000  0.5068
Ag  0.0000  0.5000  0.4815
Ag  0.0000  0.5000  0.9744
Ag  0.5000  0.2445  0.2229
Ag  0.5000  0.7555  0.2229

Volume, Å³/f.u.: 129



--- Q ---
Below is Al3Ag5 at its PBEsol-relaxed geometry, with properties calculated at the meta-GGA SCAN level.

Cell: 4.7977 5.7269 5.0095 Å, 90.00 110.56 90.00°
Sites, in units of the cell vectors:
Al  0.0000  0.0000  0.0000
Al  0.0000  0.2523  0.5000
Al  0.0000  0.7477  0.5000
Ag  0.0000  0.5000  0.0000
Ag  0.5000  0.0000  0.5000
Ag  0.5000  0.2449  0.0000
Ag  0.5000  0.5000  0.5000
Ag  0.5000  0.7551  0.0000

Volume, Å³/f.u.: 129



--- R ---
Below is Al3Ag5 at its PBEsol-relaxed geometry, with properties calculated at the meta-GGA SCAN level.

Cell: 5.0217 2.8770 9.1662 Å, 90.00 100.81 90.00°
Sites, in units of the cell vectors:
Al  0.0000  0.0000  0.0000
Al  0.2463  0.0000  0.7425
Al  0.4919  0.5000  0.9999
Ag  0.2418  0.5000  0.2406
Ag  0.4947  0.0000  0.4989
Ag  0.7438  0.0000  0.2404
Ag  0.7479  0.5000  0.7610
Ag  0.9963  0.5000  0.5040

Volume, Å³/f.u.: 130



Referenced to the most stable arrangement, the calculated values in eV/atom are P 0.000; Q 0.005; R 0.028.